DFT (GGA+U) results for crystalline CsFe3C4O12 at its relaxed geometry.

Output
calculated density: 3.76 Mg/m³
total DFT energy (no corrections): -7.1213 eV/atom
Fermi-level density of states: 0.44 states/eV/atom
space group: R32, No. 155
volume: 11.93 A^3/atom

Unit cell a=6.3148 b=6.3148 c=6.3148 alpha=100.05 beta=100.05 gamma=100.05
Last column: nearest neighbours and their distance in Å.
Fractional positions:
Cs: 0.0000 0.0000 0.0000  6 O 2.86, 6 C 3.18
Fe: 0.5455 0.4545 0.0000  6 O 2.04-2.23
Fe: 0.4545 0.0000 0.5455  6 O 2.04-2.23
Fe: 0.0000 0.5455 0.4545  6 O 2.04-2.23
C: 0.9573 0.0427 0.5000  3 O 1.28-1.34
C: 0.0427 0.5000 0.9573  3 O 1.28-1.34
C: 0.5000 0.9573 0.0427  3 O 1.28-1.34
C: 0.5000 0.5000 0.5000  3 O 1.30
O: 0.5000 0.3653 0.6347  1 C 1.30
O: 0.9046 0.5000 0.0954  1 C 1.34
O: 0.0954 0.9046 0.5000  1 C 1.34
O: 0.5000 0.0954 0.9046  1 C 1.34
O: 0.4393 0.0144 0.2229  1 C 1.28
O: 0.2229 0.4393 0.0144  1 C 1.28
O: 0.0144 0.2229 0.4393  1 C 1.28
O: 0.5607 0.7771 0.9856  1 C 1.28
O: 0.9856 0.5607 0.7771  1 C 1.28
O: 0.7771 0.9856 0.5607  1 C 1.28
O: 0.6347 0.5000 0.3653  1 C 1.30
O: 0.3653 0.6347 0.5000  1 C 1.30